MgCd2Pt | meta-GGA SCAN | PBEsol geometry

Values from the calculation:
* total moment: 0.00 μB/cell
* energy of formation: -0.41 eV per atom

Structure (extended XYZ):
```
4
Lattice="3.003 0.000 0.000 0.000 3.821 0.000 0.000 0.000 6.280" Properties=species:S:1:pos:R:3 pbc="T T T"
Pt 1.502 1.911 4.583
Cd 0.000 0.000 6.174
Cd 1.502 1.911 1.594
Mg 0.000 0.000 3.349
```